# In (GGA-PBEsol, optimized geometry)
data_In
_symmetry_space_group_name_H-M 'I -4 3 m'
_symmetry_Int_Tables_number 217
_symmetry_space_group_name_Hall 'I -4 2 3'
_cell_length_a 11.414
_cell_length_b 11.414
_cell_length_c 11.414
_cell_angle_alpha 90.00
_cell_angle_beta 90.00
_cell_angle_gamma 90.00
loop_
_atom_site_label
_atom_site_type_symbol
_atom_site_fract_x
_atom_site_fract_y
_atom_site_fract_z
In1 In 0.000 0.000 0.000
In2 In 0.050 0.360 0.640
In3 In 0.094 0.094 0.713
In4 In 0.172 0.172 0.172
# Energy above the lowest structure with this stoichiometry: 15 meV/atom

---

# KTcSb2I (GGA-PBEsol, optimized geometry)
data_KTcSb2I
_symmetry_space_group_name_H-M 'P 4/m m m'
_symmetry_Int_Tables_number 123
_symmetry_space_group_name_Hall '-P 4 2'
_cell_length_a 5.736
_cell_length_b 5.736
_cell_length_c 5.819
_cell_angle_alpha 90.00
_cell_angle_beta 90.00
_cell_angle_gamma 90.00
loop_
_atom_site_label
_atom_site_type_symbol
_atom_site_fract_x
_atom_site_fract_y
_atom_site_fract_z
K1 K 0.000 0.000 0.000
Tc1 Tc 0.500 0.500 0.500
Sb1 Sb 0.000 0.500 0.000
I1 I 0.000 0.000 0.500
# Uncorrected formation energy: 1.87 eV/atom

---

# LaHgAs2 (GGA-PBEsol, optimized geometry)
data_LaHgAs2
_symmetry_space_group_name_H-M 'F -4 3 m'
_symmetry_Int_Tables_number 216
_symmetry_space_group_name_Hall 'F -4 2 3'
_cell_length_a 7.181
_cell_length_b 7.181
_cell_length_c 7.181
_cell_angle_alpha 90.00
_cell_angle_beta 90.00
_cell_angle_gamma 90.00
loop_
_atom_site_label
_atom_site_type_symbol
_atom_site_fract_x
_atom_site_fract_y
_atom_site_fract_z
La1 La 0.000 0.000 0.000
Hg1 Hg 0.250 0.250 0.750
As1 As 0.000 0.000 0.500
As2 As 0.250 0.250 0.250
# Energy: -4.450 eV per atom

---

# NiSb2Pt (GGA-PBEsol, optimized geometry)
data_NiSb2Pt
_symmetry_space_group_name_H-M 'C 1 2/m 1'
_symmetry_Int_Tables_number 12
_cell_length_a 6.691
_cell_length_b 3.724
_cell_length_c 6.413
_cell_angle_alpha 90.00
_cell_angle_beta 109.07
_cell_angle_gamma 90.00
loop_
_symmetry_equiv_pos_as_xyz
'x,y,z'
'-x,-y,-z'
'-x,y,-z'
'x,-y,z'
'x+1/2,y+1/2,z'
'-x+1/2,-y+1/2,-z'
'-x+1/2,y+1/2,-z'
'x+1/2,-y+1/2,z'
loop_
_atom_site_label
_atom_site_type_symbol
_atom_site_fract_x
_atom_site_fract_y
_atom_site_fract_z
Ni1 Ni 0.000 0.000 0.000
Sb1 Sb 0.244 0.500 0.232
Pt1 Pt 0.000 0.500 0.500
# Energy above the lowest structure with this stoichiometry: 0 meV/atom
# Uncorrected formation energy: -0.14 eV/atom

---

# MgInPb2 (GGA-PBEsol, optimized geometry)
data_MgInPb2
_symmetry_space_group_name_H-M 'I m m 2'
_symmetry_Int_Tables_number 44
_cell_length_a 3.559
_cell_length_b 5.550
_cell_length_c 10.814
_cell_angle_alpha 90.00
_cell_angle_beta 90.00
_cell_angle_gamma 90.00
loop_
_symmetry_equiv_pos_as_xyz
'x,y,z'
'-x,-y,z'
'-x,y,z'
'x,-y,z'
'x+1/2,y+1/2,z+1/2'
'-x+1/2,-y+1/2,z+1/2'
'-x+1/2,y+1/2,z+1/2'
'x+1/2,-y+1/2,z+1/2'
loop_
_atom_site_label
_atom_site_type_symbol
_atom_site_fract_x
_atom_site_fract_y
_atom_site_fract_z
Mg1 Mg 0.000 0.000 0.000
In1 In 0.000 0.500 0.268
Pb1 Pb 0.000 0.000 0.515
Pb2 Pb 0.000 0.500 0.744
# Energy: -3.182 eV per atom

---

# Hg2RhW (GGA-PBEsol, optimized geometry)
data_Hg2RhW
_symmetry_space_group_name_H-M 'C 1 2/m 1'
_symmetry_Int_Tables_number 12
_cell_length_a 9.367
_cell_length_b 2.886
_cell_length_c 5.081
_cell_angle_alpha 90.00
_cell_angle_beta 100.14
_cell_angle_gamma 90.00
loop_
_symmetry_equiv_pos_as_xyz
'x,y,z'
'-x,-y,-z'
'-x,y,-z'
'x,-y,z'
'x+1/2,y+1/2,z'
'-x+1/2,-y+1/2,-z'
'-x+1/2,y+1/2,-z'
'x+1/2,-y+1/2,z'
loop_
_atom_site_label
_atom_site_type_symbol
_atom_site_fract_x
_atom_site_fract_y
_atom_site_fract_z
Hg1 Hg 0.248 0.000 0.246
Rh1 Rh 0.000 0.500 0.000
W1 W 0.000 0.000 0.500
# Energy above the lowest structure with this stoichiometry: 0 meV/atom

---

# LiMoOs2 (GGA-PBEsol, optimized geometry)
data_LiMoOs2
_symmetry_space_group_name_H-M 'F m -3 m'
_symmetry_Int_Tables_number 225
_symmetry_space_group_name_Hall '-F 4 2 3'
_cell_length_a 6.007
_cell_length_b 6.007
_cell_length_c 6.007
_cell_angle_alpha 90.00
_cell_angle_beta 90.00
_cell_angle_gamma 90.00
loop_
_atom_site_label
_atom_site_type_symbol
_atom_site_fract_x
_atom_site_fract_y
_atom_site_fract_z
Li1 Li 0.000 0.000 0.000
Mo1 Mo 0.000 0.000 0.500
Os1 Os 0.250 0.250 0.250
# Energy above the lowest structure with this stoichiometry: 0 meV/atom

---

# Ba2HgBiP (GGA-PBEsol, optimized geometry)
data_Ba2HgBiP
_symmetry_space_group_name_H-M 'P 4/m m m'
_symmetry_Int_Tables_number 123
_symmetry_space_group_name_Hall '-P 4 2'
_cell_length_a 6.313
_cell_length_b 6.313
_cell_length_c 5.299
_cell_angle_alpha 90.00
_cell_angle_beta 90.00
_cell_angle_gamma 90.00
loop_
_atom_site_label
_atom_site_type_symbol
_atom_site_fract_x
_atom_site_fract_y
_atom_site_fract_z
Ba1 Ba 0.000 0.500 0.000
Hg1 Hg 0.000 0.000 0.000
Bi1 Bi 0.000 0.000 0.500
P1 P 0.500 0.500 0.500
# Energy: -2.887 eV per atom

---

# BePd3W (GGA-PBEsol, optimized geometry)
data_BePd3W
_symmetry_space_group_name_H-M 'P m -3 m'
_symmetry_Int_Tables_number 221
_symmetry_space_group_name_Hall '-P 4 2 3'
_cell_length_a 4.148
_cell_length_b 4.148
_cell_length_c 4.148
_cell_angle_alpha 90.00
_cell_angle_beta 90.00
_cell_angle_gamma 90.00
loop_
_atom_site_label
_atom_site_type_symbol
_atom_site_fract_x
_atom_site_fract_y
_atom_site_fract_z
Be1 Be 0.000 0.000 0.000
Pd1 Pd 0.000 0.000 0.500
W1 W 0.500 0.500 0.500
# Energy: -6.656 eV per atom

---

# TlCuIr2 (GGA-PBEsol, optimized geometry)
data_TlCuIr2
_symmetry_space_group_name_H-M 'R -3 m'
_symmetry_Int_Tables_number 166
_symmetry_space_group_name_Hall '-R 3 2"'
_cell_length_a 2.8897
_cell_length_b 2.8897
_cell_length_c 25.5071
_cell_angle_alpha 90.00
_cell_angle_beta 90.00
_cell_angle_gamma 120.00
loop_
_atom_site_label
_atom_site_type_symbol
_atom_site_fract_x
_atom_site_fract_y
_atom_site_fract_z
Tl1 Tl 0.0000 0.0000 0.0000
Cu1 Cu 0.0000 0.0000 0.5000
Ir1 Ir 0.0000 0.0000 0.2436
# Energy above the lowest structure with this stoichiometry: 0 meV/atom

---

# Al2BrCl (GGA-PBEsol, optimized geometry)
data_Al2BrCl
_symmetry_space_group_name_H-M 'C 1 m 1'
_symmetry_Int_Tables_number 8
_cell_length_a 14.452
_cell_length_b 3.319
_cell_length_c 5.402
_cell_angle_alpha 90.00
_cell_angle_beta 109.07
_cell_angle_gamma 90.00
loop_
_symmetry_equiv_pos_as_xyz
'x,y,z'
'x,-y,z'
'x+1/2,y+1/2,z'
'x+1/2,-y+1/2,z'
loop_
_atom_site_label
_atom_site_type_symbol
_atom_site_fract_x
_atom_site_fract_y
_atom_site_fract_z
Al1 Al 0.000 0.000 0.000
Al2 Al 0.126 0.500 0.369
Br1 Br 0.496 0.000 0.599
Cl1 Cl 0.225 0.000 0.639
# Uncorrected formation energy: -0.35 eV/atom

---

# CdCu2GeTe4 (GGA-PBEsol, optimized geometry)
data_CdCu2GeTe4
_symmetry_space_group_name_H-M 'I -4 2 m'
_symmetry_Int_Tables_number 121
_symmetry_space_group_name_Hall 'I -4 2'
_cell_length_a 6.125
_cell_length_b 6.125
_cell_length_c 11.895
_cell_angle_alpha 90.00
_cell_angle_beta 90.00
_cell_angle_gamma 90.00
loop_
_atom_site_label
_atom_site_type_symbol
_atom_site_fract_x
_atom_site_fract_y
_atom_site_fract_z
Cd1 Cd 0.000 0.000 0.000
Cu1 Cu 0.000 0.500 0.250
Ge1 Ge 0.000 0.000 0.500
Te1 Te 0.237 0.237 0.361
# Uncorrected formation energy: -0.13 eV/atom

---

| no. | Fermi-level density of states (states/eV per cell) |
| --- | --- |
| 1 | 24.81 |
| 2 | 5.18 |
| 3 | 11.18 |
| 4 | 4.66 |
| 5 | 3.94 |
| 6 | 5.75 |
| 7 | 12.07 |
| 8 | 5.09 |
| 9 | 3.87 |
| 10 | 8.69 |
| 11 | 0.54 |
| 12 | 1.03 |